The following is a PBE calculation of an optimized crystal structure of Ce4Sm3S8, from Alexandria via LeMat-Bulk.

## Properties
DOS(E_F) = 1.562 states/eV/atom
energy relative to the elements, uncorrected = -2.025 eV/atom
theoretical density = 5.7 g/cm³

a = 11.3611 Å, b = 11.3642 Å, c = 8.0279 Å
α = 90.00°, β = 134.94°, γ = 90.00°
Space group C2/m (No. 12)
One atom of each set of equivalent atoms:
1 Ce 0.0000 0.0000 0.0000 [2 per cell]
2 Ce 0.0000 0.5000 0.5000 [2 per cell]
3 Ce 0.2500 0.2500 0.0000 [4 per cell]
4 Sm 0.0000 0.5000 0.0000 [2 per cell]
5 Sm 0.2500 0.2500 0.5000 [4 per cell]
6 S 0.0000 0.2496 0.5000 [4 per cell]
7 S 0.0000 0.2508 0.0000 [4 per cell]
8 S 0.2498 0.0000 0.5008 [4 per cell]
9 S 0.2502 0.0000 0.9985 [4 per cell]